A plane-wave DFT calculation with PBE-GGA was carried out for a geometry-optimized BaAl2Cu2 structure.

Unit cell a=4.2837 b=4.2837 c=7.3318 alpha=73.02 beta=73.02 gamma=60.01
Last column: nearest neighbours and their distance in Å.
Element x y z (fractional)
Ba (0.0000, 0.5000, 0.0000)  6 Cu 3.36, 6 Al 3.74
Al (0.1976, 0.6976, 0.4072)  3 Cu 2.53, 3 Al 2.79
Al (0.8024, 0.3024, 0.5928)  3 Cu 2.53, 3 Al 2.79
Cu (0.5567, 0.0567, 0.3294)  1 Cu 2.35, 3 Al 2.53
Cu (0.4433, 0.9433, 0.6706)  1 Cu 2.35, 3 Al 2.53

DFT total energy: -3.62 eV/atom
Total magnetic moment: 0.00 μB/f.u.
N(E_F): 2.20 states/eV per cell

---

A plane-wave DFT calculation with PBE-GGA was carried out for a geometry-optimized BaAl2Cu structure.

Unit cell a=5.0725 b=5.0725 c=5.0725 alpha=60.00 beta=60.00 gamma=60.00
Last column: nearest neighbours and their distance in Å.
Element x y z (fractional)
Ba (0.5000, 0.5000, 0.5000)  8 Al 3.11
Cu (0.0000, 0.0000, 0.0000)  8 Al 3.11
Al (0.2500, 0.2500, 0.2500)  4 Cu 3.11, 4 Ba 3.11
Al (0.7500, 0.7500, 0.7500)  4 Ba 3.11, 4 Cu 3.11

DFT total energy: -3.10 eV/atom
Total magnetic moment: 0.00 μB/f.u.
N(E_F): 2.62 states/eV per cell

---

A plane-wave DFT calculation with PBE-GGA was carried out for a geometry-optimized BaAl2Cu structure.

Unit cell a=4.3361 b=4.3361 c=6.6966 alpha=71.05 beta=71.05 gamma=59.96
Last column: nearest neighbours and their distance in Å.
Element x y z (fractional)
Ba (0.5023, 0.5023, 0.4933)  1 Cu 3.35, 7 Al 3.55-3.69
Cu (0.3222, 0.3222, 0.0332)  6 Al 2.52-2.64
Al (0.9752, 0.9752, 0.0745)  3 Cu 2.52, 3 Al 2.73
Al (0.7003, 0.7003, 0.8991)  3 Cu 2.64, 3 Al 2.73

DFT total energy: -3.59 eV/atom
Total magnetic moment: 0.00 μB/f.u.
N(E_F): 2.51 states/eV per cell

---

A plane-wave DFT calculation with PBE-GGA was carried out for a geometry-optimized BaAl3Cu structure.

Unit cell a=6.0488 b=6.0488 c=6.0488 alpha=90.00 beta=90.00 gamma=90.00
Last column: nearest neighbours and their distance in Å.
Element x y z (fractional)
Ba (0.0000, 0.0000, 0.0000)  6 Al 3.02
Cu (0.5000, 0.5000, 0.5000)  12 Al 4.28
Al (0.0000, 0.5000, 0.0000)  2 Ba 3.02
Al (0.0000, 0.0000, 0.5000)  2 Ba 3.02
Al (0.5000, 0.0000, 0.0000)  2 Ba 3.02

DFT total energy: -1.68 eV/atom
Total magnetic moment: 0.00 μB/f.u.
N(E_F): 7.70 states/eV per cell

---

A plane-wave DFT calculation with PBE-GGA was carried out for a geometry-optimized Ba4AlCu5 structure.

Unit cell a=5.3121 b=7.8960 c=7.8960 alpha=83.50 beta=70.34 gamma=70.34
Last column: nearest neighbours and their distance in Å.
Element x y z (fractional)
Ba (0.7402, 0.7176, 0.7176)  5 Cu 3.20-3.41, 1 Al 3.35
Ba (0.4578, 0.2824, 0.7176)  5 Cu 3.20-3.41, 1 Al 3.35
Ba (0.4578, 0.7176, 0.2824)  5 Cu 3.20-3.41, 1 Al 3.35
Ba (0.1754, 0.2824, 0.2824)  5 Cu 3.20-3.41, 1 Al 3.35
Al (0.1657, 0.0000, 0.0000)  6 Cu 2.50-2.76
Cu (0.1015, 0.7011, 0.0000)  1 Al 2.50, 1 Cu 2.64
Cu (0.1015, 0.0000, 0.7011)  1 Al 2.50, 1 Cu 2.64
Cu (0.8026, 0.0000, 0.2989)  1 Al 2.50, 1 Cu 2.64
Cu (0.8026, 0.2989, 0.0000)  1 Al 2.50, 1 Cu 2.64
Cu (0.6846, 0.0000, 0.0000)  2 Al 2.56-2.76, 4 Cu 2.64

DFT total energy: -3.15 eV/atom
Total magnetic moment: 0.00 μB/f.u.
N(E_F): 6.60 states/eV per cell

---

A plane-wave DFT calculation with PBE-GGA was carried out for a geometry-optimized BaAlCu2 structure.

Unit cell a=4.9376 b=4.9467 c=3.6422 alpha=90.00 beta=90.00 gamma=90.00
Last column: nearest neighbours and their distance in Å.
Element x y z (fractional)
Ba (0.0000, 0.5000, 0.5000)  8 Cu 3.07
Cu (0.0000, 0.0000, 0.0000)  4 Al 3.07, 4 Ba 3.07
Cu (0.5000, 0.5000, 0.0000)  4 Ba 3.07, 4 Al 3.07
Al (0.5000, 0.0000, 0.5000)  8 Cu 3.07

DFT total energy: -3.12 eV/atom
Total magnetic moment: 0.00 μB/f.u.
N(E_F): 2.37 states/eV per cell

---

A plane-wave DFT calculation with PBE-GGA was carried out for a geometry-optimized BaAl4Cu2 structure.

Unit cell a=4.3606 b=4.3785 c=7.7018 alpha=106.51 beta=90.00 gamma=90.00
Last column: nearest neighbours and their distance in Å.
Element x y z (fractional)
Ba (0.0000, 0.0000, 0.0000)  8 Cu 3.46, 8 Al 3.53-3.55
Al (0.5000, 0.8120, 0.6240)  2 Cu 2.50
Al (0.0000, 0.6894, 0.3787)  2 Cu 2.50
Al (0.5000, 0.1880, 0.3760)  2 Cu 2.50
Al (0.0000, 0.3106, 0.6213)  2 Cu 2.50
Cu (0.5000, 0.6062, 0.2124)  4 Al 2.50
Cu (0.5000, 0.3938, 0.7876)  4 Al 2.50

DFT total energy: -3.74 eV/atom
Total magnetic moment: 0.00 μB/f.u.
N(E_F): 2.38 states/eV per cell
E above lowest polymorph: 0 meV per atom

---

A plane-wave DFT calculation with PBE-GGA was carried out for a geometry-optimized BaAl2Cu structure.

Unit cell a=3.3086 b=3.3086 c=8.0020 alpha=90.00 beta=90.00 gamma=90.03
Last column: nearest neighbours and their distance in Å.
Element x y z (fractional)
Ba (0.5000, 0.5000, 0.2500)  4 Ba 3.31, 8 Al 3.53
Cu (0.5000, 0.5000, 0.7500)  8 Al 2.70
Al (0.0000, 0.0000, 0.9193)  4 Cu 2.70, 1 Al 2.71
Al (0.0000, 0.0000, 0.5807)  4 Cu 2.70, 1 Al 2.71

DFT total energy: -3.37 eV/atom
Total magnetic moment: 0.00 μB/f.u.
N(E_F): 2.56 states/eV per cell

---

A plane-wave DFT calculation with PBE-GGA was carried out for a geometry-optimized BaAl8Cu6 structure.

Unit cell a=6.6557 b=6.6557 c=6.6557 alpha=71.60 beta=71.60 gamma=71.60
Last column: nearest neighbours and their distance in Å.
Element x y z (fractional)
Ba (0.0000, 0.0000, 0.0000)  8 Al 3.32-3.40, 6 Cu 3.32
Al (0.2101, 0.5298, 0.8524)  4 Cu 2.60-2.74, 3 Al 2.66-2.69
Al (0.1476, 0.7899, 0.4702)  4 Cu 2.60-2.74, 3 Al 2.66-2.69
Al (0.4702, 0.1476, 0.7899)  4 Cu 2.60-2.74, 3 Al 2.66-2.69
Al (0.7688, 0.7688, 0.7688)  3 Cu 2.52, 3 Al 2.69
Al (0.2312, 0.2312, 0.2312)  3 Cu 2.52, 3 Al 2.69
Al (0.5298, 0.8524, 0.2101)  4 Cu 2.60-2.74, 3 Al 2.66-2.69
Al (0.8524, 0.2101, 0.5298)  4 Cu 2.60-2.74, 3 Al 2.66-2.69
Al (0.7899, 0.4702, 0.1476)  4 Cu 2.60-2.74, 3 Al 2.66-2.69
Cu (0.1695, 0.3716, 0.5608)  5 Al 2.52-2.74, 3 Cu 2.55-2.64
Cu (0.4392, 0.8305, 0.6284)  5 Al 2.52-2.74, 3 Cu 2.55-2.64
Cu (0.6284, 0.4392, 0.8305)  5 Al 2.52-2.74, 3 Cu 2.55-2.64
Cu (0.3716, 0.5608, 0.1695)  5 Al 2.52-2.74, 3 Cu 2.55-2.64
Cu (0.5608, 0.1695, 0.3716)  5 Al 2.52-2.74, 3 Cu 2.55-2.64
Cu (0.8305, 0.6284, 0.4392)  5 Al 2.52-2.74, 3 Cu 2.55-2.64

DFT total energy: -3.80 eV/atom
Total magnetic moment: 0.00 μB/f.u.
N(E_F): 6.71 states/eV per cell

---

A plane-wave DFT calculation with PBE-GGA was carried out for a geometry-optimized BaAl2Cu2 structure.

Unit cell a=8.2034 b=8.2034 c=2.9560 alpha=90.00 beta=90.00 gamma=90.00
Last column: nearest neighbours and their distance in Å.
Element x y z (fractional)
Ba (0.0000, 0.0000, 0.0000)  2 Ba 2.96, 4 Cu 3.22
Ba (0.5000, 0.5000, 0.0000)  2 Ba 2.96, 4 Cu 3.22
Cu (0.3700, 0.8700, 0.0000)  4 Al 2.65, 2 Cu 2.96
Cu (0.8700, 0.6300, 0.0000)  4 Al 2.65, 2 Cu 2.96
Cu (0.6300, 0.1300, 0.0000)  4 Al 2.65, 2 Cu 2.96
Cu (0.1300, 0.3700, 0.0000)  4 Al 2.65, 2 Cu 2.96
Al (0.1378, 0.6378, 0.5000)  4 Cu 2.65, 2 Al 2.96
Al (0.6378, 0.8622, 0.5000)  4 Cu 2.65, 2 Al 2.96
Al (0.8622, 0.3622, 0.5000)  4 Cu 2.65, 2 Al 2.96
Al (0.3622, 0.1378, 0.5000)  4 Cu 2.65, 2 Al 2.96

DFT total energy: -3.41 eV/atom
Total magnetic moment: 0.00 μB/f.u.
N(E_F): 3.86 states/eV per cell

---

A plane-wave DFT calculation with PBE-GGA was carried out for a geometry-optimized BaAlCu2 structure.

Unit cell a=3.2130 b=3.4516 c=7.3905 alpha=90.00 beta=90.00 gamma=90.00
Last column: nearest neighbours and their distance in Å.
Element x y z (fractional)
Ba (0.5000, 0.5000, 0.7500)  4 Ba 3.21-3.45, 8 Cu 3.41
Cu (0.0000, 0.0000, 0.0825)  1 Cu 2.48, 4 Al 2.66
Cu (0.0000, 0.0000, 0.4175)  1 Cu 2.48, 4 Al 2.66
Al (0.5000, 0.5000, 0.2500)  8 Cu 2.66

DFT total energy: -3.36 eV/atom
Total magnetic moment: 0.00 μB/f.u.
N(E_F): 2.70 states/eV per cell

---

A plane-wave DFT calculation with PBE-GGA was carried out for a geometry-optimized BaAl6Cu structure.

Unit cell a=4.4460 b=4.4460 c=8.3660 alpha=90.00 beta=90.00 gamma=90.00
Last column: nearest neighbours and their distance in Å.
Element x y z (fractional)
Ba (0.0000, 0.0000, 0.0000)  16 Al 3.41-3.61
Al (0.5000, 0.0000, 0.6607)  2 Cu 2.60, 3 Al 2.69
Al (0.0000, 0.5000, 0.6607)  2 Cu 2.60, 3 Al 2.69
Al (0.5000, 0.5000, 0.1577)  5 Al 2.64-2.69
Al (0.5000, 0.5000, 0.8423)  5 Al 2.64-2.69
Al (0.0000, 0.5000, 0.3393)  2 Cu 2.60, 3 Al 2.69
Al (0.5000, 0.0000, 0.3393)  2 Cu 2.60, 3 Al 2.69
Cu (0.0000, 0.0000, 0.5000)  8 Al 2.60

DFT total energy: -3.76 eV/atom
Total magnetic moment: 0.00 μB/f.u.
N(E_F): 2.28 states/eV per cell